This record from the Alexandria database describes an optimized crystal structure of NbCrO2F. The functional is PBE+U.

Lattice parameters (Å, degrees): 3.9818 3.9818 3.8014 90.00 90.00 90.00
With the nearest neighbours (Å) after each atom.
Space group P4/mmm (No. 123)
Unique sites:
Nb  0.0000  0.0000  0.0000 [1 per cell]  8 O 2.75, 4 F 2.82
Cr  0.5000  0.5000  0.5000 [1 per cell]  2 F 1.90, 4 O 1.99
O  0.0000  0.5000  0.5000 [2 per cell]  2 Cr 1.99
F  0.5000  0.5000  0.0000 [1 per cell]  2 Cr 1.90

Output
electronic total energy: -6.999 eV/atom
crystal system: tetragonal